HfTa3In | PBE | relaxed

## Properties
ΔH_f (0 K)	1.885	eV/atom
uncorrected energy	-38.82	eV/cell
energy relative to the lowest polymorph listed for this composition	146.6	meV per atom

Geometry as POSCAR:
```
HfTa3In
1.0
-3.3902 3.6235 -0.4272
-3.3320 -3.3123 -1.6530
-1.4867 -0.8394 4.6788
Ta Hf In
3 1 1
Direct
0.0000 0.5000 0.0000
0.5000 0.0000 0.0000
0.0000 0.0000 0.5000
0.5000 0.5000 0.5000
0.0000 0.0000 0.0000
```